Here is a geometry-optimized K4V2Tc structure from the Alexandria database. Energies are from PBE-GGA.

The value obtained for the electronic total energy is -21.13 eV/cell. The calculated formation energy comes out at 1.694 eV/atom. The value obtained for the density of states at the Fermi level is 11.3 states/eV/f.u. The value obtained for the calculated volume is 48.1 Å³ per atom. Its theoretical density is 1.76 Mg/m³.

```
K4V2Tc
1.0
-3.1668 3.1668 8.3860
3.1668 -3.1668 8.3860
3.1668 3.1668 -8.3860
K V Tc
4 2 1
Direct
0.0000 0.5000 0.5000
0.2004 0.2004 0.0000
0.5000 0.0000 0.5000
0.7996 0.7996 0.0000
0.4200 0.4200 0.0000
0.5800 0.5800 0.0000
0.0000 0.0000 0.0000
```